[1]
# Tb4DyY2Tm2 (PBE, relaxed)
# Formation energy from the elements (meV per atom): 6
# DOS at the Fermi energy (states/eV/atom): 1.38
# Space-group type: C2/m
data_Tb4DyY2Tm2
_space_group_name_H-M_alt 'P 1'
_space_group_IT_number 1
_space_group_name_Hall 'P 1'
_cell_length_a 9.465
_cell_length_b 9.465
_cell_length_c 9.500
_cell_angle_alpha 115.26
_cell_angle_beta 115.26
_cell_angle_gamma 21.79
loop_
_atom_site_label
_atom_site_fract_x
_atom_site_fract_y
_atom_site_fract_z
Tb1 0.018 0.018 0.332
Tb2 0.315 0.315 0.667
Tb3 0.685 0.685 0.333
Tb4 0.982 0.982 0.668
Dy1 0.500 0.500 0.000
Y1 0.352 0.352 0.332
Y2 0.648 0.648 0.668
Tm1 0.167 0.167 0.001
Tm2 0.833 0.833 0.999

[2]
# SiBPN4 (PBE, relaxed)
# Space-group type: P1
# Raw formation energy (meV per atom): -268
data_SiBPN4
_space_group_name_H-M_alt 'P 1'
_space_group_IT_number 1
_space_group_name_Hall 'P 1'
_cell_length_a 5.266
_cell_length_b 5.463
_cell_length_c 6.017
_cell_angle_alpha 96.96
_cell_angle_beta 105.20
_cell_angle_gamma 117.32
loop_
_atom_site_label
_atom_site_fract_x
_atom_site_fract_y
_atom_site_fract_z
Si1 0.000 0.000 0.000
Si2 0.289 0.494 0.676
B1 0.350 0.032 0.709
B2 0.480 0.864 0.054
P1 0.632 0.332 0.413
P2 0.726 0.785 0.441
N1 0.035 0.916 0.711
N2 0.109 0.372 0.084
N3 0.248 0.528 0.971
N4 0.380 0.057 0.166
N5 0.463 0.291 0.625
N6 0.516 0.885 0.802
N7 0.772 0.852 0.177
N8 0.931 0.320 0.496

One value per record, in order, for total DFT energy (no corrections): -4.993, -7.527 eV per atom.